(1)
DFT (PBE) results for a relaxed structure of Th3Si8Os3.

a = 4.186 Å, b = 10.129 Å, c = 11.636 Å
α = 90.00°, β = 90.00°, γ = 90.00°
Space group Immm (No. 71)
Unique sites:
Th1 0.000 0.000 0.000 x2
Th2 0.000 0.000 0.311 x4
Si1 0.000 0.286 0.121 x8
Si2 0.000 0.363 0.337 x8
Os1 0.000 0.214 0.500 x4
Os2 0.000 0.500 0.000 x2

Crystal system = orthorhombic
Raw formation energy = -0.46 eV per atom
Density = 10.038 g cm⁻³

=====

(2)
DFT (PBE) results for a relaxed structure of DyEr2Lu.

a = 3.4992 Å, b = 3.4992 Å, c = 34.1462 Å
α = 90.00°, β = 90.00°, γ = 120.00°
Space group R-3m (No. 166, hexagonal axes)
Unique sites:
Dy1 0.0000 0.0000 0.0000 x3
Er1 0.0000 0.0000 0.2492 x6
Lu1 0.0000 0.0000 0.5000 x3

Crystal system = trigonal
Density = 9.245 g cm⁻³
Formation enthalpy at 0 K = 27 meV/atom
Energy above the lowest structure with this stoichiometry = 1 meV per atom

=====

(3)
DFT (PBE) results for a relaxed structure of Tl2H2Au.

a = 4.909 Å, b = 4.847 Å, c = 10.387 Å
α = 90.00°, β = 91.12°, γ = 90.00°
Space group C2/m (No. 12)
Unique sites:
Tl1 0.007 0.000 0.190 x4
H1 0.024 0.500 0.535 x4
Au1 0.000 0.500 0.000 x2

Crystal system = monoclinic
Density = 8.168 g cm⁻³
Energy above the lowest structure with this stoichiometry = 0 meV per atom

=====

(4)
DFT (PBE) results for a relaxed structure of RbScMnBr6.

a = 6.6883 Å, b = 6.6883 Å, c = 15.8246 Å
α = 90.00°, β = 90.00°, γ = 120.00°
Space group P-31c (No. 163)
Unique sites:
Rb1 0.0000 0.0000 0.0000 x2
Sc1 0.3333 0.6667 0.2500 x2
Mn1 0.3333 0.6667 0.7500 x2
Br1 0.0178 0.3757 0.6562 x12

Crystal system = trigonal
Raw formation energy = -1.17 eV per atom
Density = 3.601 g cm⁻³

=====

(5)
DFT (PBE) results for a relaxed structure of PrSm2TlC.

a = 5.064 Å, b = 5.064 Å, c = 5.168 Å
α = 90.00°, β = 90.00°, γ = 90.00°
Space group P4/mmm (No. 123)
Unique sites:
Pr1 0.000 0.000 0.000 x1
Sm1 0.000 0.500 0.500 x2
Tl1 0.500 0.500 0.000 x1
C1 0.000 0.000 0.500 x1

Crystal system = tetragonal
Density = 8.244 g cm⁻³
Formation enthalpy at 0 K = -306 meV/atom

=====

(6)
DFT (PBE) results for a relaxed structure of Ta4CuBr.

a = 7.809 Å, b = 7.809 Å, c = 7.809 Å
α = 90.00°, β = 90.00°, γ = 90.00°
Space group F-43m (No. 216)
Unique sites:
Ta1 0.123 0.123 0.377 x16
Cu1 0.250 0.250 0.750 x4
Br1 0.000 0.000 0.000 x4

Crystal system = cubic
Raw formation energy = 0.94 eV per atom
Density = 12.099 g cm⁻³

=====

(7)
DFT (PBE) results for a relaxed structure of TeIrRuI2.

a = 5.358 Å, b = 5.358 Å, c = 5.006 Å
α = 90.00°, β = 90.00°, γ = 90.00°
Space group P4/mmm (No. 123)
Unique sites:
Te1 0.000 0.000 0.000 x1
Ir1 0.500 0.500 0.000 x1
Ru1 0.000 0.000 0.500 x1
I1 0.000 0.500 0.500 x2

Crystal system = tetragonal
Raw formation energy = 1.36 eV per atom
Density = 7.797 g cm⁻³
Energy above the lowest structure with this stoichiometry = 141 meV per atom

=====

(8)
DFT (PBE) results for a relaxed structure of K2MgBiH.

a = 6.998 Å, b = 6.998 Å, c = 5.181 Å
α = 90.00°, β = 90.00°, γ = 90.00°
Space group P4/mmm (No. 123)
Unique sites:
K1 0.000 0.500 0.000 x2
Mg1 0.000 0.000 0.000 x1
Bi1 0.000 0.000 0.500 x1
H1 0.500 0.500 0.500 x1

Crystal system = tetragonal
Density = 2.045 g cm⁻³
Electronic total energy = -1.8626 eV per atom

=====

(9)
DFT (PBE) results for a relaxed structure of Li3CaC.

a = 5.773 Å, b = 5.773 Å, c = 5.773 Å
α = 90.00°, β = 90.00°, γ = 90.00°
Space group Pm-3m (No. 221)
Unique sites:
Li1 0.000 0.000 0.500 x3
Ca1 0.000 0.000 0.000 x1
C1 0.500 0.500 0.500 x1

Crystal system = cubic
Density = 0.629 g cm⁻³
Formation enthalpy at 0 K = 2036 meV/atom
Energy above the lowest structure with this stoichiometry = 1671 meV per atom

=====

(10)
DFT (PBE) results for a relaxed structure of RbTiCuSe2.

a = 5.985 Å, b = 15.088 Å, c = 5.566 Å
α = 90.00°, β = 90.00°, γ = 90.00°
Space group Cmme (No. 67)
Unique sites:
Rb1 0.000 0.250 0.230 x4
Ti1 0.250 0.000 0.500 x4
Cu1 0.000 0.000 0.000 x4
Se1 0.000 0.112 0.718 x8

Crystal system = orthorhombic
Raw formation energy = -0.78 eV per atom
Density = 4.689 g cm⁻³

=====

(11)
DFT (PBE) results for a relaxed structure of VPd2Pt.

a = 7.020 Å, b = 7.020 Å, c = 5.281 Å
α = 90.00°, β = 90.00°, γ = 90.00°
Space group I-42d (No. 122)
Unique sites:
V1 0.000 0.000 0.000 x4
Pd1 0.220 0.250 0.125 x8
Pt1 0.000 0.000 0.500 x4

Crystal system = tetragonal
Density = 11.712 g cm⁻³
Formation enthalpy at 0 K = 127 meV/atom

=====

(12)
DFT (PBE) results for a relaxed structure of NpTcB4.

a = 6.338 Å, b = 6.338 Å, c = 6.338 Å
α = 90.00°, β = 90.00°, γ = 90.00°
Space group F-43m (No. 216)
Unique sites:
Np1 0.000 0.000 0.000 x4
Tc1 0.250 0.250 0.250 x4
B1 0.099 0.099 0.599 x16

Crystal system = cubic
Density = 9.866 g cm⁻³
Formation enthalpy at 0 K = 594 meV/atom
Energy above the lowest structure with this stoichiometry = 1084 meV per atom

=====

What is the density in the seventh record? 7.797 g cm⁻³